[1]
## CdWCl2 (PBE)

Data for a geometry-optimized CdWCl2 structure.

a = 9.105 Å, b = 9.105 Å, c = 9.105 Å
α = 20.35°, β = 20.35°, γ = 20.35°
Fractional positions:
W1 0.505 0.505 0.505
Cl1 0.231 0.231 0.231
Cl2 0.013 0.013 0.013
Cd1 0.751 0.751 0.751

Summary:
**DFT total energy**: -17.85 eV/cell
**Uncorrected formation energy**: -0.072 eV per atom
**Mass density**: 7635 kg/m³
**Magnetization**: 0.018 μB per formula unit
**SG**: R3m, No. 160

***

[2]
## LiVCl4 (PBE)

Data for a geometry-optimized LiVCl4 structure.

a = 5.991 Å, b = 5.991 Å, c = 6.675 Å
α = 116.67°, β = 116.67°, γ = 90.00°
Last column: magnetic moment on the atom in μB.
Fractional positions:
Cl1 0.827 0.393 0.247  -0.01
Cl2 0.146 0.173 0.753  -0.01
Cl3 0.420 0.854 0.247  -0.01
Cl4 0.607 0.580 0.753  -0.01
V1 0.500 0.500 0.000  1.81
Li1 0.750 0.250 0.500  0.01

Summary:
**DFT total energy**: -26.54 eV/cell
**Uncorrected formation energy**: -1.353 eV per atom
**Mass density**: 1791 kg/m³
**Magnetization**: 2.000 μB per formula unit
**SG**: I-4, No. 82

***

[3]
## ZrCuPd3 (PBE)

Data for a geometry-optimized ZrCuPd3 structure.

a = 5.287 Å, b = 8.572 Å, c = 7.522 Å
α = 90.00°, β = 90.00°, γ = 90.00°
Fractional positions:
Pd1 0.488 0.814 0.250
Pd2 0.778 0.237 0.066
Pd3 0.222 0.763 0.934
Pd4 0.512 0.186 0.750
Pd5 0.278 0.263 0.434
Pd6 0.778 0.237 0.434
Pd7 0.012 0.314 0.750
Pd8 0.722 0.737 0.934
Pd9 0.222 0.763 0.566
Pd10 0.988 0.686 0.250
Pd11 0.278 0.263 0.066
Pd12 0.722 0.737 0.566
Cu1 0.000 0.500 0.500
Cu2 0.000 0.500 0.000
Cu3 0.500 0.000 0.500
Cu4 0.500 0.000 0.000
Zr1 0.486 0.502 0.750
Zr2 0.986 0.998 0.750
Zr3 0.014 0.002 0.250
Zr4 0.514 0.498 0.250

Summary:
**DFT total energy**: -118.78 eV/cell
**ΔE_f**: -294.3 meV per atom
**Mass density**: 9236 kg/m³
**Magnetization**: 0.000 μB per formula unit
**SG**: Pnma, No. 62

***

[4]
## Rb2Tl3 (PBE)

Data for a geometry-optimized Rb2Tl3 structure.

a = 7.416 Å, b = 7.416 Å, c = 10.030 Å
α = 90.00°, β = 90.00°, γ = 52.37°
Fractional positions:
Rb1 0.659 0.659 0.901
Rb2 0.341 0.341 0.099
Rb3 0.159 0.159 0.599
Rb4 0.841 0.841 0.401
Tl1 0.500 0.500 0.500
Tl2 0.157 0.657 0.750
Tl3 0.657 0.157 0.750
Tl4 0.343 0.843 0.250
Tl5 0.843 0.343 0.250
Tl6 0.000 0.000 0.000

Summary:
**DFT total energy**: -18.79 eV/cell
**ΔE_f**: -72.6 meV per atom
**Mass density**: 5961 kg/m³
**Magnetization**: 0.000 μB per formula unit
**SG**: Cmce, No. 64

***

[5]
## LiLaTa2 (PBE)

Data for a geometry-optimized LiLaTa2 structure.

a = 4.654 Å, b = 2.959 Å, c = 6.554 Å
α = 77.09°, β = 90.00°, γ = 90.00°
Fractional positions:
La1 0.000 0.550 0.518
Li1 0.500 0.920 0.775
Ta1 0.000 0.802 0.031
Ta2 0.500 0.228 0.176

Summary:
**DFT total energy**: -28.69 eV/cell
**ΔE_f**: 465.4 meV per atom
**Mass density**: 9582 kg/m³
**Magnetization**: 0.000 μB per formula unit
**SG**: Pm, No. 6

***

[6]
## LiZnRe2 (PBE)

Data for a geometry-optimized LiZnRe2 structure.

a = 3.068 Å, b = 4.187 Å, c = 4.446 Å
α = 90.00°, β = 90.00°, γ = 90.00°
Fractional positions:
Re1 0.500 0.500 0.000
Re2 0.000 0.000 0.000
Li1 0.000 0.500 0.500
Zn1 0.500 0.000 0.500

Summary:
**DFT total energy**: -27.12 eV/cell
**ΔE_f**: 242.0 meV per atom
**Mass density**: 12933 kg/m³
**Magnetization**: 0.000 μB per formula unit
**SG**: Pmmm, No. 47

***

[7]
## DyTm2Mg (PBE)

Data for a geometry-optimized DyTm2Mg structure.

a = 3.449 Å, b = 3.449 Å, c = 11.518 Å
α = 81.35°, β = 81.35°, γ = 59.89°
Fractional positions:
Dy1 0.667 0.667 0.000
Mg1 0.500 0.500 0.500
Tm1 0.084 0.084 0.748
Tm2 0.249 0.249 0.252

Summary:
**DFT total energy**: -14.95 eV/cell
**ΔE_f**: 46.5 meV per atom
**Mass density**: 7463 kg/m³
**Magnetization**: 0.000 μB per formula unit
**SG**: Cm, No. 8

***

[8]
## BaBe3V (PBE)

Data for a geometry-optimized BaBe3V structure.

a = 4.718 Å, b = 4.718 Å, c = 4.718 Å
α = 90.00°, β = 90.00°, γ = 90.00°
Last column: magnetic moment on the atom in μB.
Fractional positions:
Be1 0.000 0.500 0.000  0.10
Be2 0.000 0.000 0.500  0.10
Be3 0.500 0.000 0.000  0.10
Ba1 0.500 0.500 0.500  0.00
V1 0.000 0.000 0.000  2.24

Summary:
**DFT total energy**: -17.80 eV/cell
**ΔE_f**: 884.0 meV per atom
**Mass density**: 3404 kg/m³
**Magnetization**: 3.357 μB per formula unit
**SG**: Pm-3m, No. 221

***

[9]
## TlPt2W (PBE)

Data for a geometry-optimized TlPt2W structure.

a = 2.969 Å, b = 4.903 Å, c = 4.803 Å
α = 90.00°, β = 90.00°, γ = 90.00°
Fractional positions:
Pt1 0.000 0.000 0.000
Pt2 0.500 0.500 0.000
Tl1 0.500 0.000 0.500
W1 0.000 0.500 0.500

Summary:
**DFT total energy**: -25.56 eV/cell
**ΔE_f**: 459.8 meV per atom
**Mass density**: 18484 kg/m³
**Magnetization**: 0.000 μB per formula unit
**SG**: Pmmm, No. 47

***

[10]
## ZnHg3O (PBE)

Data for a geometry-optimized ZnHg3O structure.

a = 5.233 Å, b = 5.233 Å, c = 5.233 Å
α = 90.00°, β = 90.00°, γ = 90.00°
Last column: magnetic moment on the atom in μB.
Fractional positions:
Hg1 0.000 0.000 0.500  0.02
Hg2 0.500 0.000 0.000  0.00
Hg3 0.000 0.500 0.000  0.00
O1 0.500 0.500 0.500  -1.03
Zn1 0.000 0.000 0.000  0.01

Summary:
**DFT total energy**: -4.70 eV/cell
**Uncorrected formation energy**: 0.488 eV per atom
**Mass density**: 7915 kg/m³
**Magnetization**: 1.182 μB per formula unit
**SG**: Pm-3m, No. 221

***

[11]
## TaMn2In (PBE)

Data for a geometry-optimized TaMn2In structure.

a = 3.219 Å, b = 3.187 Å, c = 7.047 Å
α = 63.13°, β = 90.00°, γ = 90.00°
Last column: magnetic moment on the atom in μB.
Fractional positions:
Ta1 0.500 0.250 0.250  -0.59
In1 0.500 0.750 0.750  -0.09
Mn1 0.000 0.529 0.470  2.50
Mn2 0.000 0.971 0.030  2.50

Summary:
**DFT total energy**: -32.76 eV/cell
**ΔE_f**: 43.6 meV per atom
**Mass density**: 10443 kg/m³
**Magnetization**: 4.262 μB per formula unit
**SG**: Pmmm, No. 47

***

[12]
## KMnRe2 (PBE)

Data for a geometry-optimized KMnRe2 structure.

a = 4.983 Å, b = 4.983 Å, c = 8.751 Å
α = 73.46°, β = 73.46°, γ = 90.00°
Fractional positions:
Re1 0.875 0.125 0.750
Re2 0.875 0.125 0.250
Re3 0.875 0.625 0.250
Re4 0.375 0.125 0.750
Mn1 0.750 0.250 0.500
Mn2 0.000 0.000 0.000
K1 0.500 0.500 0.000
K2 0.250 0.750 0.500

Summary:
**DFT total energy**: -56.06 eV/cell
**ΔE_f**: 1782.9 meV per atom
**Mass density**: 7789 kg/m³
**Magnetization**: 0.000 μB per formula unit
**SG**: I4_1/amd, No. 141